Entry from Alexandria via LeMat-Bulk: a crystal of Pt2PbSe relaxed with PBEsol (SCAN).

Structure (POSCAR):
```
Pt2PbSe
1.0
2.829 -3.849 0.000
2.829 3.849 0.000
0.000 0.000 3.662
Pt Pb Se
2 1 1
Direct
0.233 0.767 0.000
0.767 0.233 0.000
0.500 0.500 0.500
0.000 0.000 0.500
```

space group	No. 65
formation energy from raw total energies	0.00	eV/atom
E	-236.26	eV/cell